Compound: NdYMg2
Source: Alexandria
Functional: PBE
Structure: optimized geometry

Computed properties:
Energy of formation from the pure elements: 32 meV per atom
Uncorrected energy: -0.26263 Ry/atom

Cell and atoms, written as CIF:
```
data_NdYMg2
_space_group_name_H-M_alt 'R -3 m'
_space_group_IT_number 166
_space_group_name_Hall '-R 3 2"'
_cell_length_a 3.5343
_cell_length_b 3.5343
_cell_length_c 32.7762
_cell_angle_alpha 90.00
_cell_angle_beta 90.00
_cell_angle_gamma 120.00
loop_
_atom_site_label
_atom_site_type_symbol
_atom_site_fract_x
_atom_site_fract_y
_atom_site_fract_z
Nd1 Nd 0.0000 0.0000 0.0000
Y1 Y 0.0000 0.0000 0.5000
Mg1 Mg 0.0000 0.0000 0.2480
```


Compound: Nd6Y5Mg
Source: Alexandria
Functional: PBE
Structure: optimized geometry

Computed properties:
Energy of formation from the pure elements: 15 meV per atom
Uncorrected energy: -0.38186 Ry/atom

Cell and atoms, written as CIF:
```
data_Nd6Y5Mg
_space_group_name_H-M_alt 'I m m m'
_space_group_IT_number 71
_space_group_name_Hall '-I 2 2'
_cell_length_a 5.129
_cell_length_b 10.059
_cell_length_c 15.404
_cell_angle_alpha 90.00
_cell_angle_beta 90.00
_cell_angle_gamma 90.00
loop_
_atom_site_label
_atom_site_type_symbol
_atom_site_fract_x
_atom_site_fract_y
_atom_site_fract_z
Nd1 Nd 0.000 0.248 0.000
Nd2 Nd 0.000 0.252 0.333
Y1 Y 0.000 0.000 0.168
Y2 Y 0.000 0.000 0.500
Y3 Y 0.000 0.500 0.165
Mg1 Mg 0.000 0.500 0.500
```


Compound: Nd2MgZn10
Source: Alexandria
Functional: PBE
Structure: optimized geometry

Computed properties:
Energy of formation from the pure elements: -198 meV per atom
Uncorrected energy: -0.14953 Ry/atom

Cell and atoms, written as CIF:
```
data_Nd2MgZn10
_space_group_name_H-M_alt 'P 1 21/c 1'
_space_group_IT_number 14
_space_group_name_Hall '-P 2ybc'
_cell_length_a 5.832
_cell_length_b 6.958
_cell_length_c 12.023
_cell_angle_alpha 90.00
_cell_angle_beta 91.62
_cell_angle_gamma 90.00
loop_
_atom_site_label
_atom_site_type_symbol
_atom_site_fract_x
_atom_site_fract_y
_atom_site_fract_z
Nd1 Nd 0.034 0.230 0.439
Mg1 Mg 0.500 0.000 0.000
Zn1 Zn 0.161 0.647 0.331
Zn2 Zn 0.215 0.135 0.694
Zn3 Zn 0.239 0.507 0.726
Zn4 Zn 0.433 0.625 0.933
Zn5 Zn 0.467 0.702 0.163
```


Compound: Nd2MgZn3
Source: Alexandria
Functional: PBE
Structure: optimized geometry

Computed properties:
E above lowest polymorph: 0.30 eV/f.u.
Energy of formation from the pure elements: -254 meV per atom
Uncorrected energy: -0.20183 Ry/atom

Cell and atoms, written as CIF:
```
data_Nd2MgZn3
_space_group_name_H-M_alt 'F m m m'
_space_group_IT_number 69
_space_group_name_Hall '-F 2 2'
_cell_length_a 6.935
_cell_length_b 9.563
_cell_length_c 16.537
_cell_angle_alpha 90.00
_cell_angle_beta 90.00
_cell_angle_gamma 90.00
loop_
_atom_site_label
_atom_site_type_symbol
_atom_site_fract_x
_atom_site_fract_y
_atom_site_fract_z
Nd1 Nd 0.244 0.000 0.000
Nd2 Nd 0.250 0.250 0.250
Mg1 Mg 0.000 0.000 0.333
Zn1 Zn 0.000 0.000 0.164
Zn2 Zn 0.000 0.246 0.082
```


> The lowest energy of formation from the pure elements belongs to which entry?

Nd2MgZn3